Nb3RhN: relaxed, PBE-GGA.

total DFT energy (no corrections): -7.1355 eV per atom
V: 22.0 Å³ per atom
spin magnetization: 0.00 μB per cell
space-group type: No. 221
N(E_F): 8.33 states/eV per cell
energy relative to the elements, uncorrected: 10.209 eV/f.u.

a = 4.7886 Å, b = 4.7886 Å, c = 4.7886 Å
α = 90.00°, β = 90.00°, γ = 90.00°
Fractional positions:
N (0.5000, 0.5000, 0.5000)
Rh (0.0000, 0.0000, 0.0000)
Nb (0.0000, 0.0000, 0.5000)
Nb (0.0000, 0.5000, 0.0000)
Nb (0.5000, 0.0000, 0.0000)